First-principles (PBE-GGA) data for a relaxed RbVSnMo2 crystal, as listed in the Alexandria database.

a b c (Å): 5.332 5.332 5.215
angles (deg): 90.00 90.00 90.00
Fractional coordinates of all 5 atoms:
Rb: 0.000 0.000 0.000
V: 0.500 0.500 0.000
Sn: 0.500 0.500 0.500
Mo: 0.000 0.500 0.500
Mo: 0.500 0.000 0.500

SG: No. 123
Energy of formation from the pure elements in eV/f.u.: 10.41